No. 1
Computed, not measured: a relaxed TiCI3 crystal at the PBE-GGA level of DFT.

Properties
As for the space-group type: No. 221. For the energy relative to the elements, uncorrected, the calculation gives 1.07 eV/atom. The calculation puts the total energy at -0.1208 Ha/atom. For the size of the total moment, the calculation gives 3.00 μB/cell.

Cell lengths 5.5320, 5.5320, 5.5320 Å; angles 90.00, 90.00, 90.00 degrees
With the nearest neighbours (Å) after each atom.
Element x y z (fractional)
I  0.0000  0.5000  0.0000  2 Ti 2.77
C  0.5000  0.5000  0.5000  12 I 3.91
I  0.0000  0.0000  0.5000  2 Ti 2.77
Ti  0.0000  0.0000  0.0000  6 I 2.77
I  0.5000  0.0000  0.0000  2 Ti 2.77


No. 2
Computed, not measured: a relaxed Y2TiCI crystal at the PBE-GGA level of DFT.

Properties
As for the space-group type: No. 123. For the energy relative to the elements, uncorrected, the calculation gives 1.74 eV/atom. The calculation puts the total energy at -0.1681 Ha/atom. For the size of the total moment, the calculation gives 0.81 μB/cell.

Cell lengths 5.6027, 4.8754, 5.6027 Å; angles 90.00, 90.00, 90.00 degrees
With the nearest neighbours (Å) after each atom.
Element x y z (fractional)
Y  0.0000  0.0000  0.5000  2 I 2.80
I  0.0000  0.0000  0.0000  2 Ti 2.44
Ti  0.0000  0.5000  0.0000  2 I 2.44
C  0.5000  0.5000  0.5000  8 Y 3.71, 4 Ti 3.96
Y  0.5000  0.0000  0.0000  2 I 2.80


No. 3
Computed, not measured: a relaxed Y2TiCI crystal at the PBE-GGA level of DFT.

Properties
As for the space-group type: No. 123. For the energy relative to the elements, uncorrected, the calculation gives -0.18 eV/atom. The calculation puts the total energy at -0.2390 Ha/atom. For the size of the total moment, the calculation gives 0.65 μB/cell.

Cell lengths 5.1095, 4.1612, 5.1095 Å; angles 90.00, 90.00, 90.00 degrees
With the nearest neighbours (Å) after each atom.
Element x y z (fractional)
C  0.0000  0.0000  0.0000  2 Ti 2.08
Ti  0.0000  0.5000  0.0000  2 C 2.08
Y  0.5000  0.0000  0.0000  2 C 2.55
I  0.5000  0.5000  0.5000  8 Y 3.29, 4 Ti 3.61
Y  0.0000  0.0000  0.5000  2 C 2.55


No. 4
Computed, not measured: a relaxed TiZn2CI crystal at the PBE-GGA level of DFT.

Properties
As for the space-group type: No. 123. For the energy relative to the elements, uncorrected, the calculation gives 0.91 eV/atom. The calculation puts the total energy at -0.1224 Ha/atom. For the size of the total moment, the calculation gives 0.04 μB/cell.

Cell lengths 5.4972, 3.8617, 5.4972 Å; angles 90.00, 90.00, 90.00 degrees
With the nearest neighbours (Å) after each atom.
Element x y z (fractional)
I  0.5000  0.5000  0.5000  8 Zn 3.36
Zn  0.0000  0.0000  0.5000  2 Ti 2.75
Zn  0.5000  0.0000  0.0000  2 Ti 2.75
C  0.0000  0.5000  0.0000  2 Ti 1.93
Ti  0.0000  0.0000  0.0000  2 C 1.93